# 1
DFT (GGA-PBE) results for HgMoAu2 after structural relaxation.

Unit cell a=2.9693 b=2.9693 c=28.6811 alpha=90.00 beta=90.00 gamma=120.00
Space group R3m (No. 160, hexagonal axes)
Symmetry-distinct sites (fractional):
Hg 0.0000 0.0000 0.0000
Mo 0.0000 0.0000 0.7514
Au 0.0000 0.0000 0.2457
Au 0.0000 0.0000 0.4952

## Properties
The value obtained for the formation energy is 326 meV/atom.

# 2
DFT (GGA-PBE) results for Th2Cd3Cu after structural relaxation.

Unit cell a=3.4051 b=4.9554 c=8.6202 alpha=90.00 beta=90.00 gamma=90.00
Space group Pmm2 (No. 25)
Symmetry-distinct sites (fractional):
Th 0.0000 0.0000 0.0000
Th 0.0000 0.5000 0.4644
Cd 0.5000 0.0000 0.6401
Cd 0.5000 0.5000 0.1502
Cd 0.5000 0.5000 0.8112
Cu 0.5000 0.0000 0.3147

## Properties
The value obtained for the formation energy is -139 meV/atom.

# 3
DFT (GGA-PBE) results for Ac3TaTl3S8 after structural relaxation.

Unit cell a=8.4155 b=8.4155 c=22.8627 alpha=90.00 beta=90.00 gamma=120.00
Space group R-3m (No. 166, hexagonal axes)
Symmetry-distinct sites (fractional):
Ac 0.0000 0.5000 0.0000
Ta 0.0000 0.0000 0.0000
Tl 0.0000 0.5000 0.5000
S 0.0000 0.0000 0.2599
S 0.0498 0.5249 0.7303

## Properties
The value obtained for the uncorrected formation energy is -30.5 kcal/mol of atoms.

# 4
DFT (GGA-PBE) results for LiIr2Ru after structural relaxation.

Unit cell a=3.7747 b=3.7747 c=7.6590 alpha=90.00 beta=90.00 gamma=90.00
Space group I4/mmm (No. 139)
Symmetry-distinct sites (fractional):
Li 0.0000 0.0000 0.0000
Ir 0.0000 0.5000 0.2500
Ru 0.0000 0.0000 0.5000

## Properties
The value obtained for the formation energy is 25 meV/atom.

no.,spin magnetization (μB per cell),total DFT energy (no corrections) (eV for the cell shown)
1,0.000,-49.2
2,0.000,-22.5
3,1.434,-252.5
4,0.001,-57.6